1.
Below is a geometry-optimized LiTh4Sn8 structure, with properties calculated at the PBE-GGA level.

The crystal system is orthorhombic. The calculation puts the energy of formation at -0.5111 eV/atom. The density of states at the Fermi level comes out at 0.474 states/eV per atom. The spin magnetization comes out at 0.0 μB per cell. Its space-group type is No. 25. As for the total energy: -70.260 eV for the cell shown.

Structure (POSCAR):
```
LiTh4Sn8
1.0
4.456 0.000 0.000
0.000 4.534 0.000
0.000 0.000 17.449
Li Th Sn
1 4 8
direct
0.000 0.000 0.000
0.000 0.000 0.780
0.000 0.500 0.292
0.500 0.000 0.580
0.500 0.500 0.079
0.000 0.000 0.143
0.000 0.000 0.436
0.000 0.500 0.618
0.000 0.500 0.922
0.500 0.000 0.257
0.500 0.000 0.921
0.500 0.500 0.436
0.500 0.500 0.738
```


2.
Below is a geometry-optimized NiGeI2N structure, with properties calculated at the PBE-GGA level.

The crystal system is tetragonal. The density of states at the Fermi level comes out at 0.879 states/eV per atom. The spin magnetization comes out at 1.3 μB per cell. For the uncorrected formation energy, the calculation gives 616 meV/atom. Its space-group type is No. 123. As for the total energy: -18.742 eV for the cell shown.

Structure (POSCAR):
```
NiGeI2N
1.0
5.533 0.000 0.000
0.000 5.533 0.000
0.000 0.000 3.580
Ni Ge I N
1 1 2 1
direct
0.000 0.000 0.000
0.500 0.500 0.500
0.000 0.500 0.000
0.500 0.000 0.000
0.000 0.000 0.500
```


3.
Below is a geometry-optimized LiTbPr2Se4 structure, with properties calculated at the PBE-GGA level.

The crystal system is monoclinic. The density of states at the Fermi level comes out at 0.357 states/eV per atom. The spin magnetization comes out at 0.0 μB per cell. For the uncorrected formation energy, the calculation gives -1759 meV/atom. Its space-group type is No. 10. As for the total energy: -44.117 eV for the cell shown.

Structure (POSCAR):
```
LiTbPr2Se4
1.0
7.185 0.000 0.000
0.000 4.160 0.000
-2.394 0.000 6.812
Li Tb Pr Se
1 1 2 4
direct
0.000 0.000 0.000
0.500 0.500 0.000
0.000 0.500 0.500
0.500 0.000 0.500
0.241 0.500 0.232
0.251 0.000 0.768
0.749 0.000 0.232
0.759 0.500 0.768
```


4.
Below is a geometry-optimized Pm3Te12Pb5 structure, with properties calculated at the PBE-GGA level.

The crystal system is cubic. The density of states at the Fermi level comes out at 0.712 states/eV per atom. The spin magnetization comes out at 0.0 μB per cell. For the uncorrected formation energy, the calculation gives -552 meV/atom. Its space-group type is No. 230. As for the total energy: -326.097 eV for the cell shown.

Structure (POSCAR):
```
Pm3Te12Pb5
1.0
-9.201 9.201 9.201
9.201 -9.201 9.201
9.201 9.201 -9.201
Pm Te Pb
12 48 20
direct
0.125 0.250 0.375
0.125 0.375 0.750
0.250 0.375 0.125
0.250 0.875 0.625
0.375 0.125 0.250
0.375 0.750 0.125
0.625 0.250 0.875
0.625 0.875 0.750
0.750 0.125 0.375
0.750 0.625 0.875
0.875 0.625 0.250
0.875 0.750 0.625
0.058 0.228 0.142
0.058 0.331 0.917
0.083 0.642 0.414
0.083 0.942 0.669
0.086 0.728 0.669
0.086 0.858 0.417
0.142 0.058 0.228
0.142 0.583 0.914
0.169 0.228 0.586
0.169 0.442 0.583
0.228 0.142 0.058
0.228 0.586 0.169
0.272 0.331 0.914
0.272 0.442 0.358
0.331 0.914 0.272
0.331 0.917 0.058
0.358 0.272 0.442
0.358 0.586 0.917
0.414 0.083 0.642
0.414 0.831 0.772
0.417 0.086 0.858
0.417 0.831 0.558
0.442 0.358 0.272
0.442 0.583 0.169
0.558 0.417 0.831
0.558 0.642 0.728
0.583 0.169 0.442
0.583 0.914 0.142
0.586 0.169 0.228
0.586 0.917 0.358
0.642 0.414 0.083
0.642 0.728 0.558
0.669 0.083 0.942
0.669 0.086 0.728
0.728 0.558 0.642
0.728 0.669 0.086
0.772 0.414 0.831
0.772 0.858 0.942
0.831 0.558 0.417
0.831 0.772 0.414
0.858 0.417 0.086
0.858 0.942 0.772
0.914 0.142 0.583
0.914 0.272 0.331
0.917 0.058 0.331
0.917 0.358 0.586
0.942 0.669 0.083
0.942 0.772 0.858
0.000 0.000 0.000
0.000 0.000 0.500
0.000 0.500 0.000
0.000 0.500 0.500
0.125 0.750 0.875
0.125 0.875 0.250
0.250 0.125 0.875
0.250 0.625 0.375
0.375 0.250 0.625
0.375 0.625 0.750
0.500 0.000 0.000
0.500 0.000 0.500
0.500 0.500 0.000
0.500 0.500 0.500
0.625 0.375 0.250
0.625 0.750 0.375
0.750 0.375 0.625
0.750 0.875 0.125
0.875 0.125 0.750
0.875 0.250 0.125
```